*A*
# ZrAl2Fe2, optimized geometry, DFT GGA-PBE
# - symmetry = No. 127
data_ZrAl2Fe2
_chemical_formula_sum 'Zr2 Al4 Fe4'
_cell_length_a 7.346
_cell_length_b 7.346
_cell_length_c 2.703
_cell_angle_alpha 90.00
_cell_angle_beta 90.00
_cell_angle_gamma 90.00
_space_group_name_H-M_alt 'P 1'
_space_group_IT_number 1
loop_
_space_group_symop_operation_xyz
'x,y,z'
loop_
_atom_site_label
_atom_site_fract_x
_atom_site_fract_y
_atom_site_fract_z
Fe1 0.164 0.664 0.500
Fe2 0.664 0.836 0.500
Fe3 0.836 0.336 0.500
Fe4 0.336 0.164 0.500
Zr1 0.000 0.000 0.000
Zr2 0.500 0.500 0.000
Al1 0.371 0.871 0.000
Al2 0.871 0.629 0.000
Al3 0.629 0.129 0.000
Al4 0.129 0.371 0.000

*B*
# ZrAl2Fe2, optimized geometry, DFT GGA-PBE
# - symmetry = No. 139
data_ZrAl2Fe2
_chemical_formula_sum 'Zr1 Al2 Fe2'
_cell_length_a 3.694
_cell_length_b 3.694
_cell_length_c 6.285
_cell_angle_alpha 72.91
_cell_angle_beta 72.91
_cell_angle_gamma 90.00
_space_group_name_H-M_alt 'P 1'
_space_group_IT_number 1
loop_
_space_group_symop_operation_xyz
'x,y,z'
loop_
_atom_site_label
_atom_site_fract_x
_atom_site_fract_y
_atom_site_fract_z
Fe1 0.750 0.250 0.500
Fe2 0.250 0.750 0.500
Zr1 0.000 0.000 0.000
Al1 0.390 0.390 0.220
Al2 0.610 0.610 0.780

*C*
# ZrAl2Fe2, optimized geometry, DFT GGA-PBE
# - symmetry = No. 139
data_ZrAl2Fe2
_chemical_formula_sum 'Zr1 Al2 Fe2'
_cell_length_a 3.973
_cell_length_b 3.973
_cell_length_c 5.563
_cell_angle_alpha 69.08
_cell_angle_beta 69.08
_cell_angle_gamma 90.00
_space_group_name_H-M_alt 'P 1'
_space_group_IT_number 1
loop_
_space_group_symop_operation_xyz
'x,y,z'
loop_
_atom_site_label
_atom_site_fract_x
_atom_site_fract_y
_atom_site_fract_z
Fe1 0.395 0.395 0.211
Fe2 0.605 0.605 0.789
Zr1 0.000 0.000 0.000
Al1 0.750 0.250 0.500
Al2 0.250 0.750 0.500

*D*
# ZrAl2Fe2, optimized geometry, DFT GGA-PBE
# - symmetry = No. 127
data_ZrAl2Fe2
_chemical_formula_sum 'Zr2 Al4 Fe4'
_cell_length_a 7.005
_cell_length_b 7.005
_cell_length_c 2.894
_cell_angle_alpha 90.00
_cell_angle_beta 90.00
_cell_angle_gamma 90.00
_space_group_name_H-M_alt 'P 1'
_space_group_IT_number 1
loop_
_space_group_symop_operation_xyz
'x,y,z'
loop_
_atom_site_label
_atom_site_fract_x
_atom_site_fract_y
_atom_site_fract_z
Fe1 0.347 0.847 0.000
Fe2 0.847 0.653 0.000
Fe3 0.653 0.153 0.000
Fe4 0.153 0.347 0.000
Zr1 0.000 0.000 0.000
Zr2 0.500 0.500 0.000
Al1 0.141 0.641 0.500
Al2 0.641 0.859 0.500
Al3 0.859 0.359 0.500
Al4 0.359 0.141 0.500

The energy of each structure relative to the most stable one, in meV per atom, is as follows: *A* 20; *B* 41; *C* 78; *D* 0.

*A*
# Zr2AlFe3, optimized geometry, DFT GGA-PBE
# - symmetry = No. 194
data_Zr2AlFe3
_chemical_formula_sum 'Zr4 Al2 Fe6'
_cell_length_a 5.039
_cell_length_b 5.039
_cell_length_c 8.170
_cell_angle_alpha 90.00
_cell_angle_beta 90.00
_cell_angle_gamma 120.00
_space_group_name_H-M_alt 'P 1'
_space_group_IT_number 1
loop_
_space_group_symop_operation_xyz
'x,y,z'
loop_
_atom_site_label
_atom_site_fract_x
_atom_site_fract_y
_atom_site_fract_z
Zr1 0.667 0.333 0.435
Zr2 0.333 0.667 0.565
Zr3 0.333 0.667 0.935
Zr4 0.667 0.333 0.065
Al1 0.000 0.000 0.500
Al2 0.000 0.000 0.000
Fe1 0.172 0.344 0.250
Fe2 0.344 0.172 0.750
Fe3 0.828 0.656 0.750
Fe4 0.172 0.828 0.250
Fe5 0.828 0.172 0.750
Fe6 0.656 0.828 0.250

*B*
# Zr2AlFe3, optimized geometry, DFT GGA-PBE
# - symmetry = No. 166
data_Zr2AlFe3
_chemical_formula_sum 'Zr2 Al1 Fe3'
_cell_length_a 5.019
_cell_length_b 5.019
_cell_length_c 5.046
_cell_angle_alpha 90.00
_cell_angle_beta 60.18
_cell_angle_gamma 120.00
_space_group_name_H-M_alt 'P 1'
_space_group_IT_number 1
loop_
_space_group_symop_operation_xyz
'x,y,z'
loop_
_atom_site_label
_atom_site_fract_x
_atom_site_fract_y
_atom_site_fract_z
Zr1 0.507 0.753 0.740
Zr2 0.993 0.997 0.010
Al1 0.750 0.375 0.875
Fe1 0.250 0.375 0.375
Fe2 0.250 0.875 0.375
Fe3 0.750 0.375 0.375

The energy of each structure relative to the most stable one, in meV per atom, is as follows: *A* 0; *B* 17.

*A*
# AlGa6, optimized geometry, DFT GGA-PBE
# - symmetry = No. 229
data_AlGa6
_chemical_formula_sum 'Al1 Ga6'
_cell_length_a 6.180
_cell_length_b 6.180
_cell_length_c 6.180
_cell_angle_alpha 109.47
_cell_angle_beta 109.47
_cell_angle_gamma 109.47
_space_group_name_H-M_alt 'P 1'
_space_group_IT_number 1
loop_
_space_group_symop_operation_xyz
'x,y,z'
loop_
_atom_site_label
_atom_site_fract_x
_atom_site_fract_y
_atom_site_fract_z
Al1 0.000 0.000 0.000
Ga1 0.250 0.750 0.500
Ga2 0.500 0.750 0.250
Ga3 0.250 0.500 0.750
Ga4 0.750 0.250 0.500
Ga5 0.500 0.250 0.750
Ga6 0.750 0.500 0.250

*B*
# AlGa6, optimized geometry, DFT GGA-PBE
# - symmetry = No. 125
data_AlGa6
_chemical_formula_sum 'Al2 Ga12'
_cell_length_a 5.702
_cell_length_b 5.702
_cell_length_c 8.257
_cell_angle_alpha 90.00
_cell_angle_beta 90.00
_cell_angle_gamma 90.00
_space_group_name_H-M_alt 'P 1'
_space_group_IT_number 1
loop_
_space_group_symop_operation_xyz
'x,y,z'
loop_
_atom_site_label
_atom_site_fract_x
_atom_site_fract_y
_atom_site_fract_z
Al1 0.500 0.000 0.000
Al2 0.000 0.500 0.000
Ga1 0.500 0.500 0.151
Ga2 0.000 0.000 0.151
Ga3 0.000 0.000 0.849
Ga4 0.500 0.500 0.849
Ga5 0.823 0.677 0.353
Ga6 0.323 0.823 0.353
Ga7 0.677 0.177 0.353
Ga8 0.177 0.323 0.353
Ga9 0.677 0.823 0.647
Ga10 0.177 0.677 0.647
Ga11 0.823 0.323 0.647
Ga12 0.323 0.177 0.647

*C*
# AlGa6, optimized geometry, DFT GGA-PBE
# - symmetry = No. 123
data_AlGa6
_chemical_formula_sum 'Al1 Ga6'
_cell_length_a 4.078
_cell_length_b 4.078
_cell_length_c 8.071
_cell_angle_alpha 90.00
_cell_angle_beta 90.00
_cell_angle_gamma 90.00
_space_group_name_H-M_alt 'P 1'
_space_group_IT_number 1
loop_
_space_group_symop_operation_xyz
'x,y,z'
loop_
_atom_site_label
_atom_site_fract_x
_atom_site_fract_y
_atom_site_fract_z
Al1 0.000 0.000 0.000
Ga1 0.000 0.000 0.500
Ga2 0.500 0.500 0.000
Ga3 0.500 0.000 0.735
Ga4 0.000 0.500 0.265
Ga5 0.500 0.000 0.265
Ga6 0.000 0.500 0.735

The energy of each structure relative to the most stable one, in meV per atom, is as follows: *A* 357; *B* 42; *C* 0.

*A*
# Al4Ga5, optimized geometry, DFT GGA-PBE
# - symmetry = No. 139
data_Al4Ga5
_chemical_formula_sum 'Al4 Ga5'
_cell_length_a 4.097
_cell_length_b 6.546
_cell_length_c 6.546
_cell_angle_alpha 84.38
_cell_angle_beta 71.77
_cell_angle_gamma 71.77
_space_group_name_H-M_alt 'P 1'
_space_group_IT_number 1
loop_
_space_group_symop_operation_xyz
'x,y,z'
loop_
_atom_site_label
_atom_site_fract_x
_atom_site_fract_y
_atom_site_fract_z
Al1 0.668 0.000 0.665
Al2 0.332 0.335 0.000
Al3 0.332 0.000 0.335
Al4 0.668 0.665 0.000
Ga1 0.671 0.329 0.329
Ga2 0.329 0.671 0.671
Ga3 0.000 0.000 0.000
Ga4 0.000 0.671 0.329
Ga5 0.000 0.329 0.671

*B*
# Al4Ga5, optimized geometry, DFT GGA-PBE
# - symmetry = No. 87
data_Al4Ga5
_chemical_formula_sum 'Al4 Ga5'
_cell_length_a 4.723
_cell_length_b 6.678
_cell_length_c 6.678
_cell_angle_alpha 82.82
_cell_angle_beta 69.29
_cell_angle_gamma 69.29
_space_group_name_H-M_alt 'P 1'
_space_group_IT_number 1
loop_
_space_group_symop_operation_xyz
'x,y,z'
loop_
_atom_site_label
_atom_site_fract_x
_atom_site_fract_y
_atom_site_fract_z
Al1 0.263 0.071 0.403
Al2 0.666 0.597 0.071
Al3 0.334 0.403 0.929
Al4 0.737 0.929 0.597
Ga1 0.500 0.000 0.000
Ga2 0.039 0.622 0.301
Ga3 0.340 0.699 0.622
Ga4 0.660 0.301 0.378
Ga5 0.961 0.378 0.699

The energy of each structure relative to the most stable one, in meV per atom, is as follows: *A* 0; *B* 116.

*A*
# Al3Ga7, optimized geometry, DFT GGA-PBE
# - symmetry = No. 12
data_Al3Ga7
_chemical_formula_sum 'Al3 Ga7'
_cell_length_a 4.025
_cell_length_b 5.805
_cell_length_c 8.254
_cell_angle_alpha 105.59
_cell_angle_beta 104.11
_cell_angle_gamma 90.00
_space_group_name_H-M_alt 'P 1'
_space_group_IT_number 1
loop_
_space_group_symop_operation_xyz
'x,y,z'
loop_
_atom_site_label
_atom_site_fract_x
_atom_site_fract_y
_atom_site_fract_z
Al1 0.000 0.000 0.000
Al2 0.798 0.402 0.596
Al3 0.202 0.598 0.404
Ga1 0.000 0.500 0.000
Ga2 0.799 0.902 0.598
Ga3 0.201 0.098 0.402
Ga4 0.603 0.302 0.205
Ga5 0.397 0.698 0.795
Ga6 0.598 0.801 0.197
Ga7 0.402 0.199 0.803

*B*
# Al3Ga7, optimized geometry, DFT GGA-PBE
# - symmetry = No. 2
data_Al3Ga7
_chemical_formula_sum 'Al3 Ga7'
_cell_length_a 2.962
_cell_length_b 5.721
_cell_length_c 10.801
_cell_angle_alpha 97.95
_cell_angle_beta 95.80
_cell_angle_gamma 90.17
_space_group_name_H-M_alt 'P 1'
_space_group_IT_number 1
loop_
_space_group_symop_operation_xyz
'x,y,z'
loop_
_atom_site_label
_atom_site_fract_x
_atom_site_fract_y
_atom_site_fract_z
Al1 0.000 0.000 0.000
Al2 0.206 0.599 0.400
Al3 0.794 0.401 0.600
Ga1 0.000 0.500 0.000
Ga2 0.203 0.106 0.404
Ga3 0.797 0.894 0.596
Ga4 0.399 0.699 0.799
Ga5 0.601 0.301 0.201
Ga6 0.400 0.196 0.798
Ga7 0.600 0.804 0.202

The energy of each structure relative to the most stable one, in meV per atom, is as follows: *A* 0; *B* 9.

*A*
# Al6Ga, optimized geometry, DFT GGA-PBE
# - symmetry = No. 125
data_Al6Ga
_chemical_formula_sum 'Al12 Ga2'
_cell_length_a 5.569
_cell_length_b 5.569
_cell_length_c 8.411
_cell_angle_alpha 90.00
_cell_angle_beta 90.00
_cell_angle_gamma 90.00
_space_group_name_H-M_alt 'P 1'
_space_group_IT_number 1
loop_
_space_group_symop_operation_xyz
'x,y,z'
loop_
_atom_site_label
_atom_site_fract_x
_atom_site_fract_y
_atom_site_fract_z
Al1 0.500 0.500 0.151
Al2 0.000 0.000 0.151
Al3 0.000 0.000 0.849
Al4 0.500 0.500 0.849
Al5 0.826 0.674 0.359
Al6 0.326 0.826 0.359
Al7 0.674 0.174 0.359
Al8 0.174 0.326 0.359
Al9 0.674 0.826 0.641
Al10 0.174 0.674 0.641
Al11 0.826 0.326 0.641
Al12 0.326 0.174 0.641
Ga1 0.500 0.000 0.000
Ga2 0.000 0.500 0.000

*B*
# Al6Ga, optimized geometry, DFT GGA-PBE
# - symmetry = No. 229
data_Al6Ga
_chemical_formula_sum 'Al6 Ga1'
_cell_length_a 6.354
_cell_length_b 6.354
_cell_length_c 6.354
_cell_angle_alpha 109.47
_cell_angle_beta 109.47
_cell_angle_gamma 109.47
_space_group_name_H-M_alt 'P 1'
_space_group_IT_number 1
loop_
_space_group_symop_operation_xyz
'x,y,z'
loop_
_atom_site_label
_atom_site_fract_x
_atom_site_fract_y
_atom_site_fract_z
Al1 0.250 0.750 0.500
Al2 0.500 0.750 0.250
Al3 0.250 0.500 0.750
Al4 0.750 0.250 0.500
Al5 0.500 0.250 0.750
Al6 0.750 0.500 0.250
Ga1 0.000 0.000 0.000

The energy of each structure relative to the most stable one, in meV per atom, is as follows: *A* 0; *B* 559.

*A*
# Al3Ga5, optimized geometry, DFT GGA-PBE
# - symmetry = No. 2
data_Al3Ga5
_chemical_formula_sum 'Al3 Ga5'
_cell_length_a 7.151
_cell_length_b 4.779
_cell_length_c 4.673
_cell_angle_alpha 111.66
_cell_angle_beta 78.03
_cell_angle_gamma 101.81
_space_group_name_H-M_alt 'P 1'
_space_group_IT_number 1
loop_
_space_group_symop_operation_xyz
'x,y,z'
loop_
_atom_site_label
_atom_site_fract_x
_atom_site_fract_y
_atom_site_fract_z
Al1 0.750 0.741 0.489
Al2 0.500 0.500 0.000
Al3 0.250 0.259 0.511
Ga1 0.621 0.120 0.249
Ga2 0.000 0.000 0.000
Ga3 0.379 0.880 0.751
Ga4 0.129 0.630 0.258
Ga5 0.871 0.370 0.742

*B*
# Al3Ga5, optimized geometry, DFT GGA-PBE
# - symmetry = No. 193
data_Al3Ga5
_chemical_formula_sum 'Al6 Ga10'
_cell_length_a 5.114
_cell_length_b 8.144
_cell_length_c 8.144
_cell_angle_alpha 120.00
_cell_angle_beta 90.00
_cell_angle_gamma 90.00
_space_group_name_H-M_alt 'P 1'
_space_group_IT_number 1
loop_
_space_group_symop_operation_xyz
'x,y,z'
loop_
_atom_site_label
_atom_site_fract_x
_atom_site_fract_y
_atom_site_fract_z
Al1 0.750 0.408 0.408
Al2 0.250 0.592 0.592
Al3 0.750 0.000 0.592
Al4 0.750 0.592 0.000
Al5 0.250 0.408 0.000
Al6 0.250 0.000 0.408
Ga1 0.000 0.667 0.333
Ga2 0.500 0.333 0.667
Ga3 0.000 0.333 0.667
Ga4 0.500 0.667 0.333
Ga5 0.750 0.791 0.791
Ga6 0.250 0.209 0.209
Ga7 0.750 0.000 0.209
Ga8 0.750 0.209 0.000
Ga9 0.250 0.791 0.000
Ga10 0.250 0.000 0.791

The energy of each structure relative to the most stable one, in meV per atom, is as follows: *A* 0; *B* 32.

*A*
# Al4Ga, optimized geometry, DFT GGA-PBE
# - symmetry = No. 166
data_Al4Ga
_chemical_formula_sum 'Al4 Ga1'
_cell_length_a 2.850
_cell_length_b 2.850
_cell_length_c 12.102
_cell_angle_alpha 83.24
_cell_angle_beta 83.24
_cell_angle_gamma 60.00
_space_group_name_H-M_alt 'P 1'
_space_group_IT_number 1
loop_
_space_group_symop_operation_xyz
'x,y,z'
loop_
_atom_site_label
_atom_site_fract_x
_atom_site_fract_y
_atom_site_fract_z
Al1 0.599 0.599 0.203
Al2 0.200 0.200 0.401
Al3 0.800 0.800 0.599
Al4 0.401 0.401 0.797
Ga1 0.000 0.000 0.000

*B*
# Al4Ga, optimized geometry, DFT GGA-PBE
# - symmetry = No. 221
data_Al4Ga
_chemical_formula_sum 'Al4 Ga1'
_cell_length_a 4.861
_cell_length_b 4.861
_cell_length_c 4.861
_cell_angle_alpha 90.00
_cell_angle_beta 90.00
_cell_angle_gamma 90.00
_space_group_name_H-M_alt 'P 1'
_space_group_IT_number 1
loop_
_space_group_symop_operation_xyz
'x,y,z'
loop_
_atom_site_label
_atom_site_fract_x
_atom_site_fract_y
_atom_site_fract_z
Al1 0.000 0.000 0.000
Al2 0.500 0.000 0.500
Al3 0.000 0.500 0.500
Al4 0.500 0.500 0.000
Ga1 0.500 0.500 0.500

*C*
# Al4Ga, optimized geometry, DFT GGA-PBE
# - symmetry = No. 139
data_Al4Ga
_chemical_formula_sum 'Al4 Ga1'
_cell_length_a 2.951
_cell_length_b 2.951
_cell_length_c 9.873
_cell_angle_alpha 98.60
_cell_angle_beta 98.60
_cell_angle_gamma 90.00
_space_group_name_H-M_alt 'P 1'
_space_group_IT_number 1
loop_
_space_group_symop_operation_xyz
'x,y,z'
loop_
_atom_site_label
_atom_site_fract_x
_atom_site_fract_y
_atom_site_fract_z
Al1 0.602 0.602 0.204
Al2 0.201 0.201 0.401
Al3 0.799 0.799 0.599
Al4 0.398 0.398 0.796
Ga1 0.000 0.000 0.000

The energy of each structure relative to the most stable one, in meV per atom, is as follows: *A* 0; *B* 657; *C* 19.